The following is a DFT calculation (GGA-PBE) of an optimized crystal structure of LiSc2Pb.

```
data_LiSc2Pb
_chemical_formula_sum 'Li4 Sc8 Pb4'
_space_group_name_H-M_alt 'F -4 3 m'
_space_group_IT_number 216
_space_group_name_Hall 'F -4 2 3'
_cell_length_a 7.134
_cell_length_b 7.134
_cell_length_c 7.134
_cell_angle_alpha 90.00
_cell_angle_beta 90.00
_cell_angle_gamma 90.00
loop_
_atom_site_label
_atom_site_type_symbol
_atom_site_fract_x
_atom_site_fract_y
_atom_site_fract_z
Li1 Li 0.000 0.000 0.000
Sc1 Sc 0.000 0.000 0.500
Sc2 Sc 0.250 0.250 0.750
Pb1 Pb 0.250 0.250 0.250
```

Results
The calculation puts the formation energy at -0.03 eV per atom. The value obtained for the magnetic moment is 2.52 μB per formula unit. The calculation puts the total energy at -4.601 eV/atom.